Here is a geometry-optimized AcZrTl2 structure from Alexandria via LeMat-Bulk. Energies are from PBE.

a = 3.9124 Å, b = 3.9124 Å, c = 7.4795 Å
α = 90.00°, β = 90.00°, γ = 90.00°
With the nearest neighbours (Å) after each atom.
Positions (direct):
Zr: 0.5000 0.5000 0.0000  8 Tl 3.18
Tl: 0.0000 0.0000 0.7903  1 Tl 3.14, 4 Zr 3.18
Tl: 0.0000 0.0000 0.2097  1 Tl 3.14, 4 Zr 3.18
Ac: 0.5000 0.5000 0.5000  8 Tl 3.52, 2 Zr 3.74, 4 Ac 3.91

N(E_F) = 4.01 states/eV per cell
DFT total energy = -4.438 eV/atom
Size of the total moment = 0.14 μB/atom
Space group = P4/mmm (123)



Here is a geometry-optimized AcZrTl structure from Alexandria via LeMat-Bulk. Energies are from PBE.

a = 3.5726 Å, b = 3.5722 Å, c = 16.5736 Å
α = 90.00°, β = 90.00°, γ = 120.00°
With the nearest neighbours (Å) after each atom.
Positions (direct):
Tl: 0.2786 0.5571 0.5000  6 Tl 3.57, 6 Ac 3.69-3.70
Tl: 0.6106 0.2212 0.0000  6 Zr 3.19-3.20, 6 Tl 3.57
Zr: 0.2775 0.5550 0.8528  3 Tl 3.19-3.20, 3 Ac 3.46, 6 Zr 3.57
Zr: 0.2775 0.5550 0.1472  3 Tl 3.19-3.20, 3 Ac 3.46, 6 Zr 3.57
Ac: 0.6112 0.2225 0.3149  3 Zr 3.46, 6 Ac 3.57, 3 Tl 3.69-3.70
Ac: 0.6112 0.2225 0.6851  3 Zr 3.46, 6 Ac 3.57, 3 Tl 3.69-3.70

N(E_F) = 5.08 states/eV per cell
DFT total energy = -4.864 eV/atom
Energy relative to the lowest polymorph listed for this composition = 77 meV per atom
Size of the total moment = 0.00 μB/atom
Space group = Amm2 (38)



Here is a geometry-optimized AcZrTl2 structure from Alexandria via LeMat-Bulk. Energies are from PBE.

a = 3.6108 Å, b = 3.6108 Å, c = 10.6729 Å
α = 80.26°, β = 80.26°, γ = 60.00°
With the nearest neighbours (Å) after each atom.
Positions (direct):
Tl: 0.2589 0.2589 0.2234  3 Zr 3.13
Tl: 0.7411 0.7411 0.7766  3 Zr 3.13
Ac: 0.5000 0.5000 0.5000  6 Tl 3.57, 6 Ac 3.61
Zr: 0.0000 0.0000 0.0000  6 Tl 3.13

N(E_F) = 4.60 states/eV per cell
DFT total energy = -4.312 eV/atom
Size of the total moment = 0.00 μB/atom
Space group = R-3m (166)



Here is a geometry-optimized AcZrTl structure from Alexandria via LeMat-Bulk. Energies are from PBE.

a = 3.7112 Å, b = 3.7112 Å, c = 7.1176 Å
α = 105.11°, β = 105.11°, γ = 90.00°
With the nearest neighbours (Å) after each atom.
Positions (direct):
Zr: 0.3138 0.3138 0.6276  4 Tl 3.10
Tl: 0.6891 0.6891 0.3783  4 Zr 3.10
Ac: 0.9970 0.9970 0.9941  4 Zr 3.57, 4 Tl 3.65, 4 Ac 3.71

N(E_F) = 4.23 states/eV per cell
DFT total energy = -4.942 eV/atom
Energy relative to the lowest polymorph listed for this composition = 0 meV per atom
Size of the total moment = 0.00 μB/atom
Space group = I4mm (107)



V (Å³ per cell)
114.49; 183.17; 118.19; 91.13